Entry 1:
This record from Alexandria via LeMat-Bulk describes an optimized crystal structure of AgRuAu2. The functional is PBE-GGA.

Cell: 2.7576 4.9685 10.0304 Å, 90.00 90.00 90.00°
Closest atoms and distances in Å follow each position.
Space group Imm2 (No. 44)
Asymmetric unit:
1 Ag 0.0000 0.0000 0.0000 x2  2 Ag 2.76, 6 Au 2.84-2.93, 2 Ru 2.85
2 Ru 0.0000 0.5000 0.2516 x2  2 Ru 2.76, 6 Au 2.76-2.84, 2 Ag 2.85
3 Au 0.0000 0.0000 0.5132 x2  4 Au 2.76-2.91, 2 Ru 2.76, 4 Ag 2.84
4 Au 0.0000 0.5000 0.7577 x2  4 Au 2.76-2.91, 4 Ru 2.84, 2 Ag 2.93

Summary:
The energy above the lowest structure with this stoichiometry comes out at 0.43 eV per formula unit.


Entry 2:
This record from Alexandria via LeMat-Bulk describes an optimized crystal structure of TbTm6Tl2. The functional is PBE-GGA.

Cell: 12.5849 3.7055 11.8435 Å, 90.00 108.18 90.00°
Closest atoms and distances in Å follow each position.
Space group C2/m (No. 12)
Asymmetric unit:
1 Tb 0.0000 0.0000 0.0000 x2  4 Tl 3.17
2 Tm 0.0129 0.0000 0.3460 x4  2 Tl 3.21, 7 Tm 3.45-3.58
3 Tm 0.1847 0.5000 0.8754 x4  2 Tl 3.25, 5 Tm 3.44-3.52, 2 Tb 3.63
4 Tm 0.1888 0.5000 0.5825 x4  2 Tl 3.27, 8 Tm 3.39-3.58
5 Tl 0.1427 0.5000 0.2105 x4  2 Tb 3.17, 6 Tm 3.21-3.27

Summary:
As for the total energy: -4.165 eV/atom.


Entry 3:
This record from Alexandria via LeMat-Bulk describes an optimized crystal structure of BeSi2Pd2. The functional is PBE-GGA.

Cell: 6.2603 6.2603 3.8243 Å, 90.00 90.00 90.00°
Closest atoms and distances in Å follow each position.
Space group P4/mbm (No. 127)
Asymmetric unit:
1 Be 0.0000 0.0000 0.0000 x2  4 Pd 2.26
2 Si 0.1316 0.3684 0.5000 x4  1 Si 2.33, 2 Pd 2.43
3 Pd 0.1995 0.6995 0.0000 x4  2 Be 2.26, 2 Si 2.43

Summary:
The energy above the lowest structure with this stoichiometry comes out at 0.08 eV per formula unit. As for the uncorrected formation energy: -0.10 eV/atom.


Entry 4:
This record from Alexandria via LeMat-Bulk describes an optimized crystal structure of Na2Tl3Cd. The functional is PBE-GGA.

Cell: 10.6772 10.6772 6.8848 Å, 90.00 90.00 120.00°
Closest atoms and distances in Å follow each position.
Space group P6_3/mmc (No. 194)
Asymmetric unit:
1 Na 0.0000 0.0000 0.2500 x2  2 Na 3.44, 12 Tl 3.59
2 Na 0.0012 0.5006 0.2500 x6  2 Na 3.44, 8 Tl 3.50-3.51, 4 Cd 3.53
3 Tl 0.1702 0.3405 0.9998 x12  1 Cd 3.02, 2 Tl 3.15
4 Cd 0.3333 0.6667 0.5032 x4  3 Tl 3.02

Summary:
The energy above the lowest structure with this stoichiometry comes out at 0.00 eV per formula unit.


Entry 5:
This record from Alexandria via LeMat-Bulk describes an optimized crystal structure of BaZrFe2. The functional is PBE-GGA.

Cell: 6.8452 6.8452 6.8452 Å, 90.00 90.00 90.00°
Closest atoms and distances in Å follow each position.
Space group F-43m (No. 216)
Asymmetric unit:
1 Ba 0.0000 0.0000 0.0000 x4  4 Zr 2.96, 4 Fe 2.96
2 Zr 0.2500 0.2500 0.2500 x4  4 Ba 2.96, 4 Fe 2.96
3 Fe 0.0000 0.0000 0.5000 x4  4 Zr 2.96, 4 Fe 2.96
4 Fe 0.2500 0.2500 0.7500 x4  4 Ba 2.96, 4 Fe 2.96

Summary:
The energy above the lowest structure with this stoichiometry comes out at 2.41 eV per formula unit.


Entry 6:
This record from Alexandria via LeMat-Bulk describes an optimized crystal structure of Tb3Ge. The functional is PBE-GGA.

Cell: 3.9213 5.0472 11.0953 Å, 90.00 90.00 90.00°
Closest atoms and distances in Å follow each position.
Space group Immm (No. 71)
Asymmetric unit:
1 Tb 0.0000 0.0000 0.0000 x2  4 Ge 3.20, 4 Tb 3.41
2 Tb 0.0000 0.5000 0.2066 x4  2 Ge 3.02, 4 Tb 3.34
3 Ge 0.0000 0.0000 0.5000 x2  8 Tb 3.02-3.20

Summary:
As for the total energy: -4.998 eV/atom.


Entry 7:
This record from Alexandria via LeMat-Bulk describes an optimized crystal structure of AcLa2Sn2. The functional is PBE-GGA.

Cell: 8.6856 8.6856 4.5534 Å, 90.00 90.00 90.00°
Closest atoms and distances in Å follow each position.
Space group P4/mbm (No. 127)
Asymmetric unit:
1 Ac 0.0000 0.0000 0.0000 x2  4 Sn 3.44
2 La 0.1707 0.3293 0.5000 x4  6 Sn 3.39-3.45
3 Sn 0.1246 0.6246 0.0000 x4  1 Sn 3.06, 2 La 3.39

Summary:
As for the total energy: -5.076 eV/atom.


Entry 8:
This record from Alexandria via LeMat-Bulk describes an optimized crystal structure of LaTb6Er3. The functional is PBE-GGA.

Cell: 9.8196 9.8196 11.7976 Å, 90.00 90.00 120.00°
Closest atoms and distances in Å follow each position.
Space group R3 (No. 146, hexagonal axes)
Asymmetric unit:
1 La 0.0000 0.0000 0.0000 x3  2 Er 2.97-3.03, 3 Tb 3.28
2 Tb 0.0004 0.3322 0.3343 x9  1 La 3.28, 2 Er 3.40
3 Tb 0.0012 0.6713 0.5012 x9  3 Er 3.23-3.46
4 Er 0.0000 0.0000 0.2516 x3  1 Er 2.91, 1 La 2.97
5 Er 0.0000 0.0000 0.4983 x3  2 Er 2.89-2.91
6 Er 0.0000 0.0000 0.7430 x3  1 Er 2.89, 1 La 3.03

Summary:
The energy above the lowest structure with this stoichiometry comes out at 1.13 eV per formula unit.


Entry 9:
This record from Alexandria via LeMat-Bulk describes an optimized crystal structure of MgZrBr2. The functional is PBE-GGA.

Cell: 3.9666 3.9666 12.1003 Å, 90.00 90.00 90.00°
Closest atoms and distances in Å follow each position.
Space group I-4m2 (No. 119)
Asymmetric unit:
1 Mg 0.0000 0.0000 0.0000 x2  4 Br 2.80
2 Zr 0.0000 0.5000 0.7500 x2  4 Br 2.80
3 Br 0.0000 0.0000 0.5000 x2  4 Mg 2.80
4 Br 0.0000 0.5000 0.2500 x2  4 Zr 2.80

Summary:
The energy above the lowest structure with this stoichiometry comes out at 2.27 eV per formula unit. As for the uncorrected formation energy: -0.17 eV/atom.


Entry 10:
This record from Alexandria via LeMat-Bulk describes an optimized crystal structure of BaFeOs. The functional is PBE-GGA.

Cell: 10.9878 4.2736 8.0281 Å, 90.00 126.60 90.00°
Closest atoms and distances in Å follow each position.
Space group Cm (No. 8)
Asymmetric unit:
1 Ba 0.0000 0.0000 0.0000 x2  3 Os 3.24-3.44, 5 Fe 3.40-3.48, 1 Ba 3.60
2 Ba 0.1274 0.0000 0.6786 x2  3 Fe 3.26-3.36, 5 Os 3.43-3.53, 1 Ba 3.60
3 Fe 0.3089 0.5000 0.2124 x2  2 Fe 2.44, 1 Os 2.51
4 Fe 0.4385 0.0000 0.2779 x2  2 Os 2.40-2.42, 2 Fe 2.44
5 Os 0.2038 0.5000 0.4167 x2  2 Fe 2.42-2.51, 2 Os 2.43
6 Os 0.3234 0.0000 0.4554 x2  1 Fe 2.40, 2 Os 2.43

Summary:
The energy above the lowest structure with this stoichiometry comes out at 0.35 eV per formula unit.


Entry 11:
This record from Alexandria via LeMat-Bulk describes an optimized crystal structure of Sm6SnTe3. The functional is PBE-GGA.

Cell: 12.3575 4.2560 12.7906 Å, 90.00 104.95 90.00°
Closest atoms and distances in Å follow each position.
Space group P2_1/m (No. 11)
Asymmetric unit:
1 Sm 0.0132 0.2500 0.3567 x2  4 Te 3.20-3.23
2 Sm 0.0853 0.2500 0.8927 x2  4 Te 3.05-3.17
3 Sm 0.2556 0.7500 0.2949 x2  3 Te 3.13-3.14, 2 Sn 3.24
4 Sm 0.2932 0.7500 0.7597 x2  3 Te 3.12-3.17, 1 Sn 3.43
5 Sm 0.3840 0.2500 0.5409 x2  3 Sn 3.18-3.29, 2 Te 3.29
6 Sm 0.4400 0.7500 0.1198 x2  3 Te 3.03-3.11, 2 Sn 3.20
7 Sn 0.4567 0.2500 0.3106 x2  8 Sm 3.18-3.43
8 Te 0.1054 0.2500 0.1449 x2  6 Sm 3.12-3.20
9 Te 0.1748 0.7500 0.5086 x2  7 Sm 3.14-3.29
10 Te 0.3407 0.2500 0.9442 x2  6 Sm 3.03-3.12

Summary:
As for the uncorrected formation energy: -0.94 eV/atom.


Entry 12:
This record from Alexandria via LeMat-Bulk describes an optimized crystal structure of LiGdScGe. The functional is PBE-GGA.

Cell: 6.9273 6.9273 6.9273 Å, 90.00 90.00 90.00°
Closest atoms and distances in Å follow each position.
Space group F-43m (No. 216)
Asymmetric unit:
1 Li 0.0000 0.0000 0.0000 x4  4 Gd 3.00, 4 Sc 3.00
2 Gd 0.2500 0.2500 0.2500 x4  4 Ge 3.00, 4 Li 3.00
3 Sc 0.2500 0.2500 0.7500 x4  4 Ge 3.00, 4 Li 3.00
4 Ge 0.0000 0.0000 0.5000 x4  4 Gd 3.00, 4 Sc 3.00

Summary:
As for the total energy: -7.151 eV/atom.


Asked for total magnetic moment across the records above, the calculation gives 0.00, 0.00, 0.00, 0.00, 3.96, 0.00, 0.00, 0.00, 0.01, 2.35, 0.51, 7.39 μB per formula unit in order.